# Tb3Dy8Y4

A relaxed structure of Tb3Dy8Y4 (PBE, Alexandria).

Cell and atoms, written as CIF:
```
data_Tb3Dy8Y4
_chemical_formula_sum 'Tb3 Dy8 Y4'
_space_group_name_H-M_alt 'P 1'
_space_group_IT_number 1
_space_group_name_Hall 'P 1'
_cell_length_a 6.925
_cell_length_b 6.925
_cell_length_c 12.422
_cell_angle_alpha 73.82
_cell_angle_beta 73.82
_cell_angle_gamma 60.00
loop_
_atom_site_label
_atom_site_type_symbol
_atom_site_fract_x
_atom_site_fract_y
_atom_site_fract_z
_atom_site_occupancy
Dy1 Dy 0.751 0.248 0.251 1
Tb1 Tb 0.500 0.000 0.500 1
Dy2 Dy 0.752 0.249 0.749 1
Y1 Y 0.336 0.336 0.992 1
Y2 Y 0.500 0.500 0.500 1
Dy3 Dy 0.755 0.755 0.735 1
Y3 Y 0.664 0.664 0.008 1
Dy4 Dy 0.245 0.245 0.265 1
Dy5 Dy 0.751 0.751 0.251 1
Tb2 Tb 0.000 0.500 0.500 1
Tb3 Tb 0.000 0.000 0.500 1
Dy6 Dy 0.249 0.249 0.749 1
Dy7 Dy 0.248 0.751 0.251 1
Y4 Y 0.000 0.000 0.000 1
Dy8 Dy 0.249 0.752 0.749 1
```

Calculated values
Space group ... No. 166
Energy of formation from the pure elements ... 0.137 eV/atom